[1]
Computed, not measured: crystalline Mn2Pd3Au3 at its relaxed geometry at the PBE level of DFT.

Properties
Space-group type ... Immm, No. 71
Relative energy among the computed polymorphs ... 0 meV/atom
Crystal system ... orthorhombic
ΔE_f ... -0.146 eV/atom

Cell: 4.727 4.747 11.617 Å, 90.00 90.00 90.00°
Fractional coordinates of all 16 atoms:
1 Mn 0.000 0.000 0.248
2 Mn 0.000 0.000 0.752
3 Mn 0.500 0.500 0.252
4 Mn 0.500 0.500 0.748
5 Pd 0.000 0.000 0.000
6 Pd 0.000 0.500 0.130
7 Pd 0.000 0.500 0.870
8 Pd 0.500 0.000 0.370
9 Pd 0.500 0.000 0.630
10 Pd 0.500 0.500 0.500
11 Au 0.000 0.000 0.500
12 Au 0.000 0.500 0.368
13 Au 0.000 0.500 0.632
14 Au 0.500 0.000 0.132
15 Au 0.500 0.000 0.868
16 Au 0.500 0.500 0.000

***

[2]
Computed, not measured: crystalline Mn2Pd3Au3 at its relaxed geometry at the PBE level of DFT.

Properties
Space-group type ... Cmcm, No. 63
Relative energy among the computed polymorphs ... 68 meV/atom
Crystal system ... orthorhombic
ΔE_f ... -0.078 eV/atom

Cell: 5.285 5.285 13.039 Å, 90.00 90.00 131.13°
Fractional coordinates of all 16 atoms:
1 Mn 0.239 0.761 0.609
2 Mn 0.239 0.761 0.891
3 Mn 0.761 0.239 0.109
4 Mn 0.761 0.239 0.391
5 Pd 0.392 0.608 0.063
6 Pd 0.392 0.608 0.437
7 Pd 0.438 0.562 0.750
8 Pd 0.562 0.438 0.250
9 Pd 0.608 0.392 0.563
10 Pd 0.608 0.392 0.937
11 Au 0.080 0.920 0.089
12 Au 0.080 0.920 0.411
13 Au 0.266 0.734 0.250
14 Au 0.734 0.266 0.750
15 Au 0.920 0.080 0.589
16 Au 0.920 0.080 0.911

***

[3]
Computed, not measured: crystalline MnPd2Au6 at its relaxed geometry at the PBE level of DFT.

Properties
Space-group type ... C2/m, No. 12
Relative energy among the computed polymorphs ... 59 meV/atom
Crystal system ... monoclinic
ΔE_f ... -0.054 eV/atom

Cell: 4.506 4.506 8.526 Å, 97.63 97.63 65.33°
Fractional coordinates of all 9 atoms:
1 Mn 0.000 0.000 0.000
2 Pd 0.332 0.332 0.556
3 Pd 0.668 0.668 0.444
4 Au 0.000 0.000 0.334
5 Au 0.000 0.000 0.666
6 Au 0.331 0.331 0.226
7 Au 0.334 0.334 0.891
8 Au 0.666 0.666 0.109
9 Au 0.669 0.669 0.774

***

[4]
Computed, not measured: crystalline MnPdAu14 at its relaxed geometry at the PBE level of DFT.

Properties
Space-group type ... Amm2, No. 38
Crystal system ... orthorhombic
ΔE_f ... -0.020 eV/atom

Cell: 9.585 5.794 5.794 Å, 62.03 90.00 90.00°
Fractional coordinates of all 16 atoms:
1 Mn 0.000 0.000 0.000
2 Pd 0.000 0.500 0.500
3 Au 0.000 0.000 0.500
4 Au 0.000 0.500 0.000
5 Au 0.243 0.323 0.827
6 Au 0.243 0.827 0.323
7 Au 0.246 0.828 0.828
8 Au 0.249 0.327 0.327
9 Au 0.500 0.153 0.655
10 Au 0.500 0.154 0.154
11 Au 0.500 0.654 0.654
12 Au 0.500 0.655 0.153
13 Au 0.751 0.327 0.327
14 Au 0.754 0.828 0.828
15 Au 0.757 0.323 0.827
16 Au 0.757 0.827 0.323

***

[5]
Computed, not measured: crystalline Mn3Pd5Au12 at its relaxed geometry at the PBE level of DFT.

Properties
Space-group type ... Ia-3d, No. 230
Crystal system ... cubic
ΔE_f ... 0.421 eV/atom

Cell: 13.317 13.317 13.317 Å, 109.47 109.47 109.47°
Fractional coordinates of all 80 atoms:
1 Mn 0.125 0.250 0.375
2 Mn 0.125 0.375 0.750
3 Mn 0.250 0.375 0.125
4 Mn 0.250 0.875 0.625
5 Mn 0.375 0.125 0.250
6 Mn 0.375 0.750 0.125
7 Mn 0.625 0.250 0.875
8 Mn 0.625 0.875 0.750
9 Mn 0.750 0.125 0.375
10 Mn 0.750 0.625 0.875
11 Mn 0.875 0.625 0.250
12 Mn 0.875 0.750 0.625
13 Pd 0.000 0.000 0.000
14 Pd 0.000 0.000 0.500
15 Pd 0.000 0.500 0.000
16 Pd 0.000 0.500 0.500
17 Pd 0.125 0.750 0.875
18 Pd 0.125 0.875 0.250
19 Pd 0.250 0.125 0.875
20 Pd 0.250 0.625 0.375
21 Pd 0.375 0.250 0.625
22 Pd 0.375 0.625 0.750
23 Pd 0.500 0.000 0.000
24 Pd 0.500 0.000 0.500
25 Pd 0.500 0.500 0.000
26 Pd 0.500 0.500 0.500
27 Pd 0.625 0.375 0.250
28 Pd 0.625 0.750 0.375
29 Pd 0.750 0.375 0.625
30 Pd 0.750 0.875 0.125
31 Pd 0.875 0.125 0.750
32 Pd 0.875 0.250 0.125
33 Au 0.067 0.229 0.143
34 Au 0.067 0.338 0.924
35 Au 0.076 0.643 0.414
36 Au 0.076 0.933 0.662
37 Au 0.086 0.729 0.662
38 Au 0.086 0.857 0.424
39 Au 0.143 0.067 0.229
40 Au 0.143 0.576 0.914
41 Au 0.162 0.229 0.586
42 Au 0.162 0.433 0.576
43 Au 0.229 0.143 0.067
44 Au 0.229 0.586 0.162
45 Au 0.271 0.338 0.914
46 Au 0.271 0.433 0.357
47 Au 0.338 0.914 0.271
48 Au 0.338 0.924 0.067
49 Au 0.357 0.271 0.433
50 Au 0.357 0.586 0.924
51 Au 0.414 0.076 0.643
52 Au 0.414 0.838 0.771
53 Au 0.424 0.086 0.857
54 Au 0.424 0.838 0.567
55 Au 0.433 0.357 0.271
56 Au 0.433 0.576 0.162
57 Au 0.567 0.424 0.838
58 Au 0.567 0.643 0.729
59 Au 0.576 0.162 0.433
60 Au 0.576 0.914 0.143
61 Au 0.586 0.162 0.229
62 Au 0.586 0.924 0.357
63 Au 0.643 0.414 0.076
64 Au 0.643 0.729 0.567
65 Au 0.662 0.076 0.933
66 Au 0.662 0.086 0.729
67 Au 0.729 0.567 0.643
68 Au 0.729 0.662 0.086
69 Au 0.771 0.414 0.838
70 Au 0.771 0.857 0.933
71 Au 0.838 0.567 0.424
72 Au 0.838 0.771 0.414
73 Au 0.857 0.424 0.086
74 Au 0.857 0.933 0.771
75 Au 0.914 0.143 0.576
76 Au 0.914 0.271 0.338
77 Au 0.924 0.067 0.338
78 Au 0.924 0.357 0.586
79 Au 0.933 0.662 0.076
80 Au 0.933 0.771 0.857

***

[6]
Computed, not measured: crystalline MnPd6Au5 at its relaxed geometry at the PBE level of DFT.

Properties
Space-group type ... C2/m, No. 12
Crystal system ... monoclinic
ΔE_f ... -0.137 eV/atom

Cell: 6.391 6.391 7.945 Å, 90.04 90.04 142.80°
Fractional coordinates of all 12 atoms:
1 Mn 0.000 0.000 0.000
2 Pd 0.165 0.835 0.245
3 Pd 0.165 0.835 0.755
4 Pd 0.500 0.500 0.243
5 Pd 0.500 0.500 0.757
6 Pd 0.835 0.165 0.245
7 Pd 0.835 0.165 0.755
8 Au 0.000 0.000 0.500
9 Au 0.334 0.666 0.500
10 Au 0.336 0.664 0.000
11 Au 0.664 0.336 0.000
12 Au 0.666 0.334 0.500

***

[7]
Computed, not measured: crystalline Mn4Pd3Au2 at its relaxed geometry at the PBE level of DFT.

Properties
Space-group type ... P-1, No. 2
Crystal system ... triclinic
ΔE_f ... -0.123 eV/atom

Cell: 4.066 4.722 8.379 Å, 101.52 90.13 115.49°
Fractional coordinates of all 9 atoms:
1 Mn 0.015 0.030 0.341
2 Mn 0.339 0.678 0.113
3 Mn 0.661 0.322 0.887
4 Mn 0.985 0.970 0.659
5 Pd 0.000 0.000 0.000
6 Pd 0.338 0.676 0.435
7 Pd 0.662 0.324 0.565
8 Au 0.327 0.653 0.782
9 Au 0.673 0.347 0.218

***

[8]
Computed, not measured: crystalline MnPd2Au2 at its relaxed geometry at the PBE level of DFT.

Properties
Space-group type ... P4/mbm, No. 127
Relative energy among the computed polymorphs ... 191 meV/atom
Crystal system ... tetragonal
ΔE_f ... 0.021 eV/atom

Cell: 6.726 6.726 3.913 Å, 90.00 90.00 90.00°
Fractional coordinates of all 10 atoms:
1 Mn 0.000 0.000 0.000
2 Mn 0.500 0.500 0.000
3 Pd 0.141 0.359 0.000
4 Pd 0.359 0.859 0.000
5 Pd 0.641 0.141 0.000
6 Pd 0.859 0.641 0.000
7 Au 0.160 0.660 0.500
8 Au 0.340 0.160 0.500
9 Au 0.660 0.840 0.500
10 Au 0.840 0.340 0.500

***

[9]
Computed, not measured: crystalline MnPd2Au2 at its relaxed geometry at the PBE level of DFT.

Properties
Space-group type ... I4/mmm, No. 139
Relative energy among the computed polymorphs ... 335 meV/atom
Crystal system ... tetragonal
ΔE_f ... 0.165 eV/atom

Cell: 3.681 3.681 13.626 Å, 90.00 90.00 90.00°
Fractional coordinates of all 10 atoms:
1 Mn 0.000 0.000 0.000
2 Mn 0.500 0.500 0.500
3 Pd 0.000 0.500 0.250
4 Pd 0.000 0.500 0.750
5 Pd 0.500 0.000 0.250
6 Pd 0.500 0.000 0.750
7 Au 0.000 0.000 0.403
8 Au 0.000 0.000 0.597
9 Au 0.500 0.500 0.097
10 Au 0.500 0.500 0.903

***

[10]
Computed, not measured: crystalline MnPdAu4 at its relaxed geometry at the PBE level of DFT.

Properties
Space-group type ... C2/m, No. 12
Relative energy among the computed polymorphs ... 3 meV/atom
Crystal system ... monoclinic
ΔE_f ... -0.062 eV/atom

Cell: 8.789 4.871 5.635 Å, 90.00 120.86 90.00°
Fractional coordinates of all 12 atoms:
1 Mn 0.000 0.000 0.000
2 Mn 0.500 0.500 0.000
3 Pd 0.000 0.000 0.500
4 Pd 0.500 0.500 0.500
5 Au 0.167 0.500 0.002
6 Au 0.171 0.500 0.507
7 Au 0.329 0.000 0.493
8 Au 0.333 0.000 0.998
9 Au 0.667 0.000 0.002
10 Au 0.671 0.000 0.507
11 Au 0.829 0.500 0.493
12 Au 0.833 0.500 0.998

***

[11]
Computed, not measured: crystalline MnPdAu3 at its relaxed geometry at the PBE level of DFT.

Properties
Space-group type ... Pm-3m, No. 221
Relative energy among the computed polymorphs ... 862 meV/atom
Crystal system ... cubic
ΔE_f ... 0.871 eV/atom

Cell: 5.013 5.013 5.013 Å, 90.00 90.00 90.00°
Fractional coordinates of all 5 atoms:
1 Mn 0.000 0.000 0.000
2 Pd 0.500 0.500 0.500
3 Au 0.000 0.500 0.500
4 Au 0.500 0.000 0.500
5 Au 0.500 0.500 0.000

***

[12]
Computed, not measured: crystalline MnPd2Au at its relaxed geometry at the PBE level of DFT.

Properties
Space-group type ... I-42d, No. 122
Crystal system ... tetragonal
ΔE_f ... 0.123 eV/atom

Cell: 7.161 7.161 5.415 Å, 90.00 90.00 90.00°
Fractional coordinates of all 16 atoms:
1 Mn 0.000 0.000 0.000
2 Mn 0.000 0.500 0.250
3 Mn 0.500 0.000 0.750
4 Mn 0.500 0.500 0.500
5 Pd 0.230 0.250 0.125
6 Pd 0.250 0.730 0.375
7 Pd 0.250 0.770 0.875
8 Pd 0.270 0.250 0.625
9 Pd 0.730 0.750 0.625
10 Pd 0.750 0.230 0.875
11 Pd 0.750 0.270 0.375
12 Pd 0.770 0.750 0.125
13 Au 0.000 0.000 0.500
14 Au 0.000 0.500 0.750
15 Au 0.500 0.000 0.250
16 Au 0.500 0.500 0.000

***

no.,VASP energy (eV per atom)
1,-5.615
2,-5.547
3,-4.411
4,-3.785
5,-4.219
6,-4.863
7,-6.658
8,-5.201
9,-5.057
10,-4.640
11,-3.968
12,-5.585